Entry from Alexandria via LeMat-Bulk: a relaxed ZrP2Rh2 crystal (GGA-PBE).

Summary:
Raw total energy ... -7.240 eV/atom

Cell lengths 7.1933, 7.1933, 2.9356 Å; angles 90.00, 90.00, 90.00 degrees
Closest atoms and distances in Å follow each position.
Space group P4/mbm (No. 127)
Inequivalent atoms, fractional coordinates:
Zr 0.0000 0.0000 0.0000 x2  4 Rh 2.82, 2 Zr 2.94, 8 P 3.03
P 0.1758 0.3242 0.5000 x4  6 Rh 2.46-2.67
Rh 0.1306 0.6306 0.0000 x4  6 P 2.46-2.67, 1 Rh 2.66



Entry from Alexandria via LeMat-Bulk: a relaxed Zr2PRh crystal (GGA-PBE).

Summary:
Raw total energy ... -7.645 eV/atom

Cell lengths 6.4977, 6.4977, 6.4977 Å; angles 90.00, 90.00, 90.00 degrees
Closest atoms and distances in Å follow each position.
Space group F-43m (No. 216)
Inequivalent atoms, fractional coordinates:
Zr 0.0000 0.0000 0.0000 x4  4 Zr 2.81, 4 Rh 2.81
Zr 0.2500 0.2500 0.2500 x4  4 P 2.81, 4 Zr 2.81
P 0.0000 0.0000 0.5000 x4  4 Rh 2.81, 4 Zr 2.81
Rh 0.2500 0.2500 0.7500 x4  4 Zr 2.81, 4 P 2.81



Entry from Alexandria via LeMat-Bulk: a relaxed Zr2PRh crystal (GGA-PBE).

Summary:
Raw total energy ... -8.264 eV/atom

Cell lengths 5.7394, 7.1476, 3.4155 Å; angles 90.00, 90.00, 90.00 degrees
Closest atoms and distances in Å follow each position.
Space group Cmmm (No. 65)
Inequivalent atoms, fractional coordinates:
Zr 0.2500 0.2500 0.0000 x4  4 Rh 2.86, 4 P 2.86, 2 Zr 2.87
P 0.0000 0.0000 0.5000 x2  8 Zr 2.86, 2 Rh 2.87
Rh 0.0000 0.5000 0.5000 x2  8 Zr 2.86, 2 P 2.87



Entry from Alexandria via LeMat-Bulk: a relaxed Zr2P2Rh crystal (GGA-PBE).

Summary:
Raw total energy ... -8.107 eV/atom

Cell lengths 6.6698, 6.6698, 3.6818 Å; angles 90.00, 90.00, 90.00 degrees
Closest atoms and distances in Å follow each position.
Space group P4/mbm (No. 127)
Inequivalent atoms, fractional coordinates:
Zr 0.1632 0.3368 0.0000 x4  6 P 2.59-2.75
P 0.1430 0.6430 0.5000 x4  2 Rh 2.56, 6 Zr 2.59-2.75, 1 P 2.70
Rh 0.0000 0.0000 0.5000 x2  4 P 2.56



Entry from Alexandria via LeMat-Bulk: a relaxed Zr2PRh crystal (GGA-PBE).

Summary:
Raw total energy ... -8.298 eV/atom

Cell lengths 3.5768, 3.9731, 10.0455 Å; angles 90.00, 90.00, 90.00 degrees
Closest atoms and distances in Å follow each position.
Space group Imm2 (No. 44)
Inequivalent atoms, fractional coordinates:
Zr 0.0000 0.0000 0.0000 x2  4 Rh 2.68, 2 P 2.91
Zr 0.0000 0.5000 0.2382 x2  4 P 2.72
P 0.0000 0.5000 0.7877 x2  2 Rh 2.66, 6 Zr 2.72-2.91
Rh 0.0000 0.0000 0.4840 x2  2 P 2.66, 4 Zr 2.68



Entry from Alexandria via LeMat-Bulk: a relaxed ZrP2Rh3 crystal (GGA-PBE).

Summary:
Raw total energy ... -7.809 eV/atom

Cell lengths 15.7362, 3.7941, 9.5191 Å; angles 90.00, 107.78, 90.00 degrees
Closest atoms and distances in Å follow each position.
Space group C2/m (No. 12)
Inequivalent atoms, fractional coordinates:
Zr 0.0000 0.0000 0.0000 x2  6 Rh 2.88-2.96, 6 P 2.98-3.03
Zr 0.1477 0.0000 0.6801 x4  6 P 2.85-3.17, 7 Rh 2.89-3.12
P 0.0429 0.5000 0.7822 x4  3 Rh 2.24-2.33
P 0.1376 0.5000 0.4518 x4  5 Rh 2.25-2.51
P 0.1978 0.0000 0.1319 x4  6 Rh 2.32-2.52
Rh 0.0000 0.5000 0.5000 x2  4 P 2.35-2.56
Rh 0.0367 0.0000 0.3236 x4  4 P 2.33-2.53
Rh 0.1164 0.5000 0.1936 x4  4 P 2.38-2.59
Rh 0.1781 0.5000 0.9506 x4  2 P 2.24-2.32
Rh 0.2235 0.0000 0.3875 x4  4 P 2.25-2.51



Entry from Alexandria via LeMat-Bulk: a relaxed Zr2PRh crystal (GGA-PBE).

Summary:
Raw total energy ... -8.050 eV/atom

Cell lengths 3.9069, 3.9069, 18.1548 Å; angles 90.00, 90.00, 120.00 degrees
Closest atoms and distances in Å follow each position.
Space group R3m (No. 160, hexagonal axes)
Inequivalent atoms, fractional coordinates:
Zr 0.0000 0.0000 0.0000 x3  3 Rh 2.73, 3 P 3.02
Zr 0.0000 0.0000 0.1941 x3  3 P 2.72, 3 Rh 3.01
P 0.0000 0.0000 0.4439 x3  3 Rh 2.31
Rh 0.0000 0.0000 0.7509 x3  3 P 2.31



Entry from Alexandria via LeMat-Bulk: a relaxed Zr2PRh crystal (GGA-PBE).

Summary:
Raw total energy ... -8.285 eV/atom

Cell lengths 3.1431, 3.4056, 6.7659 Å; angles 90.00, 99.17, 90.00 degrees
Closest atoms and distances in Å follow each position.
Space group P2/m (No. 10)
Inequivalent atoms, fractional coordinates:
Zr 0.0651 0.0000 0.2588 x2  2 P 2.59, 2 Rh 2.85
P 0.5000 0.5000 0.5000 x1  4 Zr 2.59
Rh 0.5000 0.5000 0.0000 x1  8 Zr 2.85-2.93, 2 Rh 3.14



Entry from Alexandria via LeMat-Bulk: a relaxed Zr2PRh crystal (GGA-PBE).

Summary:
Raw total energy ... -8.156 eV/atom

Cell lengths 4.3407, 4.3407, 7.4473 Å; angles 90.00, 90.00, 90.00 degrees
Closest atoms and distances in Å follow each position.
Space group I4/mmm (No. 139)
Inequivalent atoms, fractional coordinates:
Zr 0.0000 0.5000 0.2500 x4  4 Rh 2.86, 4 P 2.86, 4 Zr 3.07
P 0.0000 0.0000 0.0000 x2  8 Zr 2.86, 4 Rh 3.07
Rh 0.0000 0.0000 0.5000 x2  8 Zr 2.86, 4 P 3.07



Entry from Alexandria via LeMat-Bulk: a relaxed Zr2PRh crystal (GGA-PBE).

Summary:
Raw total energy ... -7.921 eV/atom

Cell lengths 3.0460, 3.0460, 7.6874 Å; angles 90.00, 90.00, 90.00 degrees
Closest atoms and distances in Å follow each position.
Space group P4mm (No. 99)
Inequivalent atoms, fractional coordinates:
Zr 0.0000 0.0000 0.0000 x1  8 Zr 3.05-3.24, 4 Rh 3.06, 1 P 3.34
Zr 0.5000 0.5000 0.3154 x1  4 P 2.89, 4 Zr 3.05, 1 Rh 3.09
P 0.0000 0.0000 0.5658 x1  4 Rh 2.45
Rh 0.5000 0.5000 0.7174 x1  4 P 2.45



Entry from Alexandria via LeMat-Bulk: a relaxed ZrP3Rh crystal (GGA-PBE).

Summary:
Raw total energy ... -5.529 eV/atom

Cell lengths 4.9309, 4.9309, 4.9309 Å; angles 90.00, 90.00, 90.00 degrees
Closest atoms and distances in Å follow each position.
Space group Pm-3m (No. 221)
Inequivalent atoms, fractional coordinates:
Zr 0.0000 0.0000 0.0000 x1  6 P 2.47
P 0.0000 0.0000 0.5000 x3  2 Zr 2.47
Rh 0.5000 0.5000 0.5000 x1  12 P 3.49



Entry from Alexandria via LeMat-Bulk: a relaxed Zr2PRh crystal (GGA-PBE).

Summary:
Raw total energy ... -8.204 eV/atom

Cell lengths 4.5318, 4.5318, 3.4408 Å; angles 90.00, 90.00, 90.00 degrees
Closest atoms and distances in Å follow each position.
Space group P4/mmm (No. 123)
Inequivalent atoms, fractional coordinates:
Zr 0.0000 0.5000 0.0000 x2  4 Rh 2.85, 4 P 2.85
P 0.0000 0.0000 0.5000 x1  8 Zr 2.85
Rh 0.5000 0.5000 0.5000 x1  8 Zr 2.85



Entry from Alexandria via LeMat-Bulk: a relaxed ZrP4Rh crystal (GGA-PBE).

Summary:
Raw total energy ... -6.114 eV/atom

Cell lengths 7.1215, 7.1215, 7.1215 Å; angles 90.00, 90.00, 90.00 degrees
Closest atoms and distances in Å follow each position.
Space group F-43m (No. 216)
Inequivalent atoms, fractional coordinates:
Zr 0.0000 0.0000 0.0000 x4  12 P 2.96, 4 Rh 3.08
P 0.1224 0.1224 0.3776 x16  6 P 2.47-2.57
Rh 0.2500 0.2500 0.7500 x4  12 P 2.95, 4 Zr 3.08



Entry from Alexandria via LeMat-Bulk: a relaxed P3Ru crystal (GGA-PBE).

Summary:
Raw total energy ... -6.437 eV/atom

Cell lengths 3.2816, 4.5065, 4.4557 Å; angles 90.00, 90.00, 90.00 degrees
Closest atoms and distances in Å follow each position.
Space group Pmm2 (No. 25)
Inequivalent atoms, fractional coordinates:
P 0.0000 0.0000 0.0000 x1  2 Ru 2.27, 2 P 2.43
P 0.0000 0.5000 0.2070 x1  4 P 2.21-2.43
P 0.5000 0.5000 0.5397 x1  2 P 2.21, 2 Ru 2.31
Ru 0.5000 0.0000 0.6490 x1  4 P 2.27-2.31



Entry from Alexandria via LeMat-Bulk: a relaxed P3Ru crystal (GGA-PBE).

Summary:
Raw total energy ... -5.771 eV/atom

Cell lengths 3.8355, 3.8355, 3.8355 Å; angles 90.00, 90.00, 90.00 degrees
Closest atoms and distances in Å follow each position.
Space group Pm-3m (No. 221)
Inequivalent atoms, fractional coordinates:
P 0.0000 0.0000 0.5000 x3  4 Ru 2.71, 8 P 2.71
Ru 0.5000 0.5000 0.5000 x1  12 P 2.71



Entry from Alexandria via LeMat-Bulk: a relaxed P2Ru crystal (GGA-PBE).

Summary:
Raw total energy ... -6.786 eV/atom

Cell lengths 3.2098, 10.1074, 2.9324 Å; angles 90.00, 90.00, 90.00 degrees
Closest atoms and distances in Å follow each position.
Space group Cmmm (No. 65)
Inequivalent atoms, fractional coordinates:
P 0.0000 0.1768 0.0000 x4  2 P 2.18, 2 Ru 2.31
Ru 0.0000 0.0000 0.5000 x2  4 P 2.31



Entry from Alexandria via LeMat-Bulk: a relaxed PRu5 crystal (GGA-PBE).

Summary:
Raw total energy ... -8.545 eV/atom

Cell lengths 4.2265, 2.7661, 14.0636 Å; angles 90.00, 90.00, 90.00 degrees
Closest atoms and distances in Å follow each position.
Space group Amm2 (No. 38)
Inequivalent atoms, fractional coordinates:
P 0.0000 0.0000 0.0000 x2  10 Ru 2.62-2.80, 2 P 2.77
Ru 0.0000 0.0000 0.3266 x2  10 Ru 2.63-2.77, 2 P 2.80
Ru 0.0000 0.0000 0.6622 x2  10 Ru 2.64-2.77, 2 P 2.67
Ru 0.5000 0.0000 0.2159 x2  12 Ru 2.63-2.80
Ru 0.5000 0.0000 0.5491 x2  4 P 2.62, 8 Ru 2.64-2.77
Ru 0.5000 0.0000 0.8891 x2  2 P 2.63, 10 Ru 2.64-2.80



Entry from Alexandria via LeMat-Bulk: a relaxed P2Ru crystal (GGA-PBE).

Summary:
Raw total energy ... -6.939 eV/atom

Cell lengths 3.0685, 11.4337, 4.6575 Å; angles 90.00, 90.00, 90.00 degrees
Closest atoms and distances in Å follow each position.
Space group Cmcm (No. 63)
Inequivalent atoms, fractional coordinates:
P 0.0000 0.0237 0.2500 x4  4 P 2.39-2.41, 2 Ru 2.47
P 0.0000 0.3610 0.2500 x4  4 Ru 2.41-2.46, 2 P 2.41
Ru 0.0000 0.3075 0.7500 x4  6 P 2.41-2.47



Entry from Alexandria via LeMat-Bulk: a relaxed P3Ru crystal (GGA-PBE).

Summary:
Raw total energy ... -6.464 eV/atom

Cell lengths 4.1600, 4.3240, 6.8823 Å; angles 90.00, 90.00, 90.00 degrees
Closest atoms and distances in Å follow each position.
Space group Amm2 (No. 38)
Inequivalent atoms, fractional coordinates:
P 0.0000 0.0000 0.0000 x2  5 P 2.33-2.58, 2 Ru 2.45
P 0.0000 0.0000 0.3749 x2  3 P 2.33-2.58, 2 Ru 2.45
P 0.5000 0.0000 0.8194 x2  3 Ru 2.34-2.54, 2 P 2.42
Ru 0.5000 0.0000 0.1880 x2  7 P 2.34-2.54



Entry from Alexandria via LeMat-Bulk: a relaxed P3Ru crystal (GGA-PBE).

Summary:
Raw total energy ... -5.977 eV/atom

Cell lengths 5.3419, 6.8394, 2.9803 Å; angles 90.00, 90.00, 90.00 degrees
Closest atoms and distances in Å follow each position.
Space group Cmmm (No. 65)
Inequivalent atoms, fractional coordinates:
P 0.0000 0.0000 0.0000 x2  8 P 2.63, 2 Ru 2.67
P 0.2500 0.2500 0.5000 x4  4 Ru 2.63, 6 P 2.63-2.67
Ru 0.0000 0.5000 0.0000 x2  10 P 2.63-2.67



Entry from Alexandria via LeMat-Bulk: a relaxed P3Ru crystal (GGA-PBE).

Summary:
Raw total energy ... -6.490 eV/atom

Cell lengths 3.9843, 4.0044, 4.3883 Å; angles 83.73, 88.93, 65.46 degrees
Closest atoms and distances in Å follow each position.
Space group P1 (No. 1)
Inequivalent atoms, fractional coordinates:
P 0.0000 0.0000 0.0000 x1  3 P 2.25-2.34, 2 Ru 2.38-2.50
P 0.1555 0.3983 0.2327 x1  2 P 2.27-2.34, 2 Ru 2.35-2.41
P 0.4304 0.7946 0.6427 x1  1 P 2.25, 2 Ru 2.31-2.40
Ru 0.7214 0.2052 0.5003 x1  6 P 2.31-2.50



Entry from Alexandria via LeMat-Bulk: a relaxed PRu2 crystal (GGA-PBE).

Summary:
Raw total energy ... -8.211 eV/atom

Cell lengths 2.8678, 2.8678, 9.5258 Å; angles 90.00, 90.00, 90.00 degrees
Closest atoms and distances in Å follow each position.
Space group I4/mmm (No. 139)
Inequivalent atoms, fractional coordinates:
P 0.0000 0.0000 0.0000 x2  8 Ru 2.46
Ru 0.0000 0.0000 0.3542 x4  4 P 2.46



Entry from Alexandria via LeMat-Bulk: a relaxed PRu2 crystal (GGA-PBE).

Summary:
Raw total energy ... -8.090 eV/atom

Cell lengths 2.8778, 2.8778, 19.8090 Å; angles 90.00, 90.00, 90.00 degrees
Closest atoms and distances in Å follow each position.
Space group I4_1/amd (No. 141, origin choice 2)
Inequivalent atoms, fractional coordinates:
P 0.0000 0.2500 0.3750 x4  8 Ru 2.45
Ru 0.0000 0.2500 0.8063 x8  4 P 2.45, 3 Ru 2.66-2.72



Entry from Alexandria via LeMat-Bulk: a relaxed PRu2 crystal (GGA-PBE).

Summary:
Raw total energy ... -7.699 eV/atom

Cell lengths 3.8723, 3.8723, 7.0493 Å; angles 90.00, 90.00, 120.00 degrees
Closest atoms and distances in Å follow each position.
Space group P6_3/mmc (No. 194)
Inequivalent atoms, fractional coordinates:
P 0.0000 0.0000 0.2500 x2  6 Ru 2.56
Ru 0.3333 0.6667 0.0737 x4  4 Ru 2.47-2.49, 3 P 2.56



Entry from Alexandria via LeMat-Bulk: a relaxed P8Ru crystal (GGA-PBE).

Summary:
Raw total energy ... -5.283 eV/atom

Cell lengths 7.2989, 7.2989, 4.9715 Å; angles 90.00, 90.00, 90.00 degrees
Closest atoms and distances in Å follow each position.
Space group I4/mmm (No. 139)
Inequivalent atoms, fractional coordinates:
P 0.0000 0.3316 0.0000 x8  1 Ru 2.42, 3 P 2.46-2.52
P 0.1553 0.1553 0.5000 x8  4 P 2.27-2.52
Ru 0.0000 0.0000 0.0000 x2  4 P 2.42



Entry from Alexandria via LeMat-Bulk: a relaxed P3Ru crystal (GGA-PBE).

Summary:
Raw total energy ... -5.466 eV/atom

Cell lengths 4.6224, 4.6224, 4.6224 Å; angles 90.00, 90.00, 90.00 degrees
Closest atoms and distances in Å follow each position.
Space group Pm-3m (No. 221)
Inequivalent atoms, fractional coordinates:
P 0.0000 0.0000 0.5000 x3  2 Ru 2.31
Ru 0.0000 0.0000 0.0000 x1  6 P 2.31



Entry from Alexandria via LeMat-Bulk: a relaxed P3Ru crystal (GGA-PBE).

Summary:
Raw total energy ... -6.448 eV/atom

Cell lengths 6.2308, 3.0937, 6.8182 Å; angles 90.00, 114.92, 90.00 degrees
Closest atoms and distances in Å follow each position.
Space group Cm (No. 8)
Inequivalent atoms, fractional coordinates:
P 0.0000 0.0000 0.0000 x2  3 P 2.26-2.38, 2 Ru 2.44
P 0.9996 0.5000 0.4895 x2  3 Ru 2.27-2.38, 2 P 2.36
P 0.2999 0.5000 0.2093 x2  5 P 2.26-2.38
Ru 0.2986 0.0000 0.7005 x2  5 P 2.27-2.44



Entry from Alexandria via LeMat-Bulk: a relaxed P2Ru crystal (GGA-PBE).

Summary:
Raw total energy ... -6.825 eV/atom

Cell lengths 5.3121, 3.0827, 5.6813 Å; angles 90.00, 108.26, 90.00 degrees
Closest atoms and distances in Å follow each position.
Space group Cm (No. 8)
Inequivalent atoms, fractional coordinates:
P 0.0000 0.0000 0.0000 x2  3 Ru 2.43
P 0.2027 0.0000 0.6059 x2  3 Ru 2.39
Ru 0.4370 0.0000 0.3084 x2  6 P 2.39-2.43



no.,spin magnetization (μB/atom)
1,0.000
2,0.000
3,0.000
4,0.000
5,0.000
6,0.000
7,0.000
8,0.000
9,0.000
10,0.000
11,0.000
12,0.000
13,0.000
14,0.000
15,0.000
16,0.000
17,0.000
18,0.000
19,0.000
20,0.000
21,0.000
22,0.000
23,0.000
24,0.000
25,0.000
26,0.187
27,0.000
28,0.000